Here is a relaxed structure of SmEr3Tl3Te8 from Alexandria via LeMat-Bulk. Energies are from PBE.

CIF file:
```
data_SmEr3Tl3Te8
_cell_length_a 8.769
_cell_length_b 8.782
_cell_length_c 9.616
_cell_angle_alpha 117.23
_cell_angle_beta 90.00
_cell_angle_gamma 119.97
_space_group_name_H-M_alt 'P 1'
_space_group_IT_number 1
_space_group_name_Hall 'P 1'
loop_
_atom_site_label
_atom_site_fract_x
_atom_site_fract_y
_atom_site_fract_z
_atom_site_occupancy
Te1 0.757 0.027 0.283 1
Te2 0.243 0.487 0.717 1
Te3 0.730 0.973 0.717 1
Te4 0.262 0.524 0.287 1
Te5 0.738 0.476 0.713 1
Te6 0.243 0.973 0.717 1
Te7 0.270 0.027 0.283 1
Te8 0.757 0.513 0.283 1
Er1 0.000 0.500 0.500 1
Er2 0.500 0.000 0.500 1
Er3 0.500 0.500 0.500 1
Tl1 0.000 0.000 0.000 1
Tl2 0.000 0.500 0.000 1
Tl3 0.500 0.500 0.000 1
Sm1 0.000 0.000 0.500 1
```

DOS(E_F): 6.1 states/eV/cell
E_form (uncorrected): -1043 meV per atom

=====

Here is a relaxed structure of InPdN3 from Alexandria via LeMat-Bulk. Energies are from PBE.

CIF file:
```
data_InPdN3
_cell_length_a 4.196
_cell_length_b 4.196
_cell_length_c 4.196
_cell_angle_alpha 90.00
_cell_angle_beta 90.00
_cell_angle_gamma 90.00
_space_group_name_H-M_alt 'P 1'
_space_group_IT_number 1
_space_group_name_Hall 'P 1'
loop_
_atom_site_label
_atom_site_fract_x
_atom_site_fract_y
_atom_site_fract_z
_atom_site_occupancy
In1 0.000 0.000 0.000 1
N1 0.000 0.000 0.500 1
N2 0.000 0.500 0.000 1
N3 0.500 0.000 0.000 1
Pd1 0.500 0.500 0.500 1
```

DOS(E_F): 7.6 states/eV/cell
E_form (uncorrected): 2311 meV per atom

=====

Here is a relaxed structure of LaTb6Pm3Dy2 from Alexandria via LeMat-Bulk. Energies are from PBE.

CIF file:
```
data_LaTb6Pm3Dy2
_cell_length_a 6.232
_cell_length_b 6.232
_cell_length_c 11.916
_cell_angle_alpha 94.99
_cell_angle_beta 94.99
_cell_angle_gamma 119.98
_space_group_name_H-M_alt 'P 1'
_space_group_IT_number 1
_space_group_name_Hall 'P 1'
loop_
_atom_site_label
_atom_site_fract_x
_atom_site_fract_y
_atom_site_fract_z
_atom_site_occupancy
Dy1 0.333 0.667 0.000 1
Dy2 0.667 0.333 0.000 1
Tb1 0.749 0.749 0.250 1
Tb2 0.582 0.916 0.750 1
Tb3 0.418 0.084 0.250 1
Tb4 0.916 0.582 0.750 1
Tb5 0.084 0.418 0.250 1
Tb6 0.251 0.251 0.750 1
Pm1 0.833 0.167 0.500 1
Pm2 0.167 0.833 0.500 1
Pm3 0.500 0.500 0.500 1
La1 0.000 0.000 0.000 1
```

formation enthalpy at 0 K: 0.016 eV per atom
DOS(E_F): 15.6 states/eV/cell

=====

Here is a relaxed structure of BaSr2Li2Cd2 from Alexandria via LeMat-Bulk. Energies are from PBE.

CIF file:
```
data_BaSr2Li2Cd2
_cell_length_a 4.962
_cell_length_b 4.962
_cell_length_c 12.600
_cell_angle_alpha 78.64
_cell_angle_beta 78.64
_cell_angle_gamma 60.00
_space_group_name_H-M_alt 'P 1'
_space_group_IT_number 1
_space_group_name_Hall 'P 1'
loop_
_atom_site_label
_atom_site_fract_x
_atom_site_fract_y
_atom_site_fract_z
_atom_site_occupancy
Li1 0.399 0.399 0.804 1
Li2 0.601 0.601 0.196 1
Cd1 0.266 0.266 0.201 1
Cd2 0.734 0.734 0.799 1
Ba1 0.000 0.000 0.000 1
Sr1 0.879 0.879 0.364 1
Sr2 0.121 0.121 0.636 1
```

formation enthalpy at 0 K: -0.141 eV per atom
DOS(E_F): 8.4 states/eV/cell

=====

Here is a relaxed structure of AlHgP2Se from Alexandria via LeMat-Bulk. Energies are from PBE.

CIF file:
```
data_AlHgP2Se
_cell_length_a 4.667
_cell_length_b 5.179
_cell_length_c 4.667
_cell_angle_alpha 90.00
_cell_angle_beta 90.00
_cell_angle_gamma 90.00
_space_group_name_H-M_alt 'P 1'
_space_group_IT_number 1
_space_group_name_Hall 'P 1'
loop_
_atom_site_label
_atom_site_fract_x
_atom_site_fract_y
_atom_site_fract_z
_atom_site_occupancy
Al1 0.000 0.000 0.000 1
P1 0.500 0.000 0.000 1
P2 0.000 0.000 0.500 1
Se1 0.500 0.500 0.500 1
Hg1 0.000 0.500 0.000 1
```

DOS(E_F): 6.0 states/eV/cell
E_form (uncorrected): 695 meV per atom

=====

Here is a relaxed structure of NaAg8Pd2 from Alexandria via LeMat-Bulk. Energies are from PBE.

CIF file:
```
data_NaAg8Pd2
_cell_length_a 4.171
_cell_length_b 6.500
_cell_length_c 7.726
_cell_angle_alpha 104.59
_cell_angle_beta 105.66
_cell_angle_gamma 90.00
_space_group_name_H-M_alt 'P 1'
_space_group_IT_number 1
_space_group_name_Hall 'P 1'
loop_
_atom_site_label
_atom_site_fract_x
_atom_site_fract_y
_atom_site_fract_z
_atom_site_occupancy
Ag1 0.595 0.462 0.190 1
Ag2 0.315 0.088 0.630 1
Ag3 0.405 0.538 0.810 1
Ag4 0.951 0.276 0.903 1
Ag5 0.049 0.724 0.097 1
Ag6 0.140 0.193 0.280 1
Ag7 0.860 0.807 0.720 1
Ag8 0.685 0.912 0.370 1
Pd1 0.228 0.636 0.456 1
Pd2 0.772 0.364 0.544 1
Na1 0.500 0.000 0.000 1
```

formation enthalpy at 0 K: -0.019 eV per atom
DOS(E_F): 3.5 states/eV/cell

=====

Here is a relaxed structure of DyCoSn from Alexandria via LeMat-Bulk. Energies are from PBE.

CIF file:
```
data_DyCoSn
_cell_length_a 3.269
_cell_length_b 3.269
_cell_length_c 6.063
_cell_angle_alpha 105.64
_cell_angle_beta 105.64
_cell_angle_gamma 90.00
_space_group_name_H-M_alt 'P 1'
_space_group_IT_number 1
_space_group_name_Hall 'P 1'
loop_
_atom_site_label
_atom_site_fract_x
_atom_site_fract_y
_atom_site_fract_z
_atom_site_occupancy
Co1 0.939 0.939 0.877 1
Sn1 0.313 0.313 0.625 1
Dy1 0.599 0.599 0.197 1
```

formation enthalpy at 0 K: -0.249 eV per atom
DOS(E_F): 2.3 states/eV/cell

=====

Here is a relaxed structure of Tb2PbAu from Alexandria via LeMat-Bulk. Energies are from PBE.

CIF file:
```
data_Tb2PbAu
_cell_length_a 3.942
_cell_length_b 3.942
_cell_length_c 8.832
_cell_angle_alpha 77.10
_cell_angle_beta 77.10
_cell_angle_gamma 60.00
_space_group_name_H-M_alt 'P 1'
_space_group_IT_number 1
_space_group_name_Hall 'P 1'
loop_
_atom_site_label
_atom_site_fract_x
_atom_site_fract_y
_atom_site_fract_z
_atom_site_occupancy
Au1 0.000 0.000 0.000 1
Tb1 0.740 0.740 0.781 1
Tb2 0.260 0.260 0.219 1
Pb1 0.500 0.500 0.500 1
```

formation enthalpy at 0 K: -0.520 eV per atom
DOS(E_F): 3.1 states/eV/cell

=====

Here is a relaxed structure of TiPdSe2 from Alexandria via LeMat-Bulk. Energies are from PBE.

CIF file:
```
data_TiPdSe2
_cell_length_a 3.593
_cell_length_b 3.593
_cell_length_c 6.973
_cell_angle_alpha 75.07
_cell_angle_beta 75.07
_cell_angle_gamma 60.00
_space_group_name_H-M_alt 'P 1'
_space_group_IT_number 1
_space_group_name_Hall 'P 1'
loop_
_atom_site_label
_atom_site_fract_x
_atom_site_fract_y
_atom_site_fract_z
_atom_site_occupancy
Se1 0.247 0.247 0.260 1
Se2 0.089 0.089 0.734 1
Pd1 0.659 0.659 0.023 1
Ti1 0.506 0.506 0.482 1
```

DOS(E_F): 1.4 states/eV/cell
E_form (uncorrected): -673 meV per atom

=====

Here is a relaxed structure of Tb3Zn4Co2 from Alexandria via LeMat-Bulk. Energies are from PBE.

CIF file:
```
data_Tb3Zn4Co2
_cell_length_a 4.148
_cell_length_b 5.794
_cell_length_c 8.143
_cell_angle_alpha 71.69
_cell_angle_beta 75.24
_cell_angle_gamma 69.02
_space_group_name_H-M_alt 'P 1'
_space_group_IT_number 1
_space_group_name_Hall 'P 1'
loop_
_atom_site_label
_atom_site_fract_x
_atom_site_fract_y
_atom_site_fract_z
_atom_site_occupancy
Zn1 0.717 0.625 0.941 1
Zn2 0.970 0.695 0.364 1
Zn3 0.283 0.375 0.059 1
Zn4 0.030 0.305 0.636 1
Tb1 0.000 0.000 0.000 1
Tb2 0.686 0.268 0.359 1
Tb3 0.314 0.732 0.641 1
Co1 0.398 0.941 0.263 1
Co2 0.602 0.059 0.737 1
```

formation enthalpy at 0 K: -0.273 eV per atom
DOS(E_F): 5.9 states/eV/cell